A plane-wave DFT calculation with PBE was carried out for GdSnAsO after structural relaxation.

a = 4.044 Å, b = 8.088 Å, c = 6.265 Å
α = 90.00°, β = 90.00°, γ = 90.00°
Sites, in units of the cell vectors:
Gd  0.000  0.171  0.000
Gd  0.000  0.829  0.500
Sn  0.500  0.376  0.602
Sn  0.500  0.624  0.102
As  0.000  0.182  0.466
As  0.000  0.818  0.966
O  0.500  0.239  0.907
O  0.500  0.761  0.407

Values from the calculation:
Its space group is Pmc2_1, No. 26.

A plane-wave DFT calculation with PBE was carried out for GdSnAsO after structural relaxation.

a = 4.142 Å, b = 4.142 Å, c = 10.057 Å
α = 90.00°, β = 90.00°, γ = 90.00°
Sites, in units of the cell vectors:
Gd  0.250  0.250  0.102
Gd  0.750  0.750  0.898
Sn  0.250  0.750  0.500
Sn  0.750  0.250  0.500
As  0.250  0.250  0.727
As  0.750  0.750  0.273
O  0.250  0.750  0.000
O  0.750  0.250  0.000

Values from the calculation:
Its space group is P4/nmm, No. 129.

A plane-wave DFT calculation with PBE was carried out for SrGdAsO after structural relaxation.

a = 4.420 Å, b = 4.420 Å, c = 9.298 Å
α = 90.00°, β = 90.00°, γ = 90.00°
Sites, in units of the cell vectors:
Sr  0.250  0.750  0.000
Sr  0.750  0.250  0.000
Gd  0.250  0.250  0.410
Gd  0.750  0.750  0.590
As  0.250  0.250  0.781
As  0.750  0.750  0.219
O  0.250  0.750  0.500
O  0.750  0.250  0.500

Values from the calculation:
Its space group is P4/nmm, No. 129.

A plane-wave DFT calculation with PBE was carried out for SrGdAsO after structural relaxation.

a = 4.140 Å, b = 6.817 Å, c = 7.117 Å
α = 90.00°, β = 90.00°, γ = 90.00°
Sites, in units of the cell vectors:
Sr  0.000  0.046  0.000
Sr  0.000  0.954  0.500
Gd  0.500  0.369  0.341
Gd  0.500  0.631  0.841
As  0.500  0.233  0.726
As  0.500  0.767  0.226
O  0.000  0.256  0.280
O  0.000  0.744  0.780

Values from the calculation:
Its space group is Pmc2_1, No. 26.

Asked for energy relative to the lowest polymorph listed for this composition across the records above, the calculation gives 4.78 0.00 36.02 11.46 kJ per mole of atoms in order.
Asked for calculated volume across the records above, the calculation gives 25.62 21.57 22.71 25.11 A^3/atom in order.
Asked for calculated total energy across the records above, the calculation gives -5.979 -6.029 -5.707 -5.961 eV per atom in order.